Entry 1:
Below is a geometry-optimized HoAs2HO6 structure, with properties calculated at the PBE-GGA level.

Calculated values
Total energy = -6.349 eV/atom
Size of the total moment = 0.0000 μB per atom
Calculated volume = 17.2 Å³ per atom
Theoretical density = 4.0 g cm⁻³
DOS(E_F) = 2.42 states/eV/f.u.

```
data_HoAs2HO6
_space_group_name_H-M_alt 'C 1 2/c 1'
_space_group_IT_number 15
_cell_length_a 9.9286
_cell_length_b 10.5386
_cell_length_c 6.7683
_cell_angle_alpha 90.00
_cell_angle_beta 103.95
_cell_angle_gamma 90.00
loop_
_space_group_symop_operation_xyz
'x,y,z'
'-x,-y,-z'
'-x,y,-z+1/2'
'x,-y,z+1/2'
'x+1/2,y+1/2,z'
'-x+1/2,-y+1/2,-z'
'-x+1/2,y+1/2,-z+1/2'
'x+1/2,-y+1/2,z+1/2'
loop_
_atom_site_label
_atom_site_fract_x
_atom_site_fract_y
_atom_site_fract_z
Ho1 0.0000 0.2234 0.2500
As1 0.1938 0.0575 0.6349
H1 0.0000 0.1723 0.7500
O1 0.0486 0.1670 0.5984
O2 0.1637 0.3552 0.2460
O3 0.1677 0.0559 0.3208
```



Entry 2:
Below is a geometry-optimized Ho2AsHPd6 structure, with properties calculated at the PBE-GGA level.

Calculated values
Total energy = -5.520 eV/atom
Size of the total moment = 0.0000 μB per atom
Calculated volume = 16.8 Å³ per atom
Theoretical density = 10.3 g cm⁻³
DOS(E_F) = 4.35 states/eV/f.u.

```
data_Ho2AsHPd6
_space_group_name_H-M_alt 'P -1'
_space_group_IT_number 2
_cell_length_a 5.6678
_cell_length_b 5.6827
_cell_length_c 6.7996
_cell_angle_alpha 90.64
_cell_angle_beta 114.54
_cell_angle_gamma 119.16
loop_
_space_group_symop_operation_xyz
'x,y,z'
'-x,-y,-z'
loop_
_atom_site_label
_atom_site_fract_x
_atom_site_fract_y
_atom_site_fract_z
Ho1 0.0553 0.2647 0.3243
As1 0.5000 0.0000 0.5000
H1 0.5000 0.5000 0.0000
Pd1 0.0376 0.2865 0.8173
Pd2 0.4602 0.2128 0.1774
Pd3 0.4842 0.7212 0.2114
```



Entry 3:
Below is a geometry-optimized Ho2TeAsH2 structure, with properties calculated at the PBE-GGA level.

Calculated values
Total energy = -4.850 eV/atom
Size of the total moment = 0.0000 μB per atom
Calculated volume = 17.9 Å³ per atom
Theoretical density = 8.3 g cm⁻³
DOS(E_F) = 2.85 states/eV/f.u.

```
data_Ho2TeAsH2
_space_group_name_H-M_alt 'P -3 m 1'
_space_group_IT_number 164
_space_group_name_Hall '-P 3 2"'
_cell_length_a 3.7934
_cell_length_b 3.7934
_cell_length_c 8.6205
_cell_angle_alpha 90.00
_cell_angle_beta 90.00
_cell_angle_gamma 120.00
loop_
_atom_site_label
_atom_site_fract_x
_atom_site_fract_y
_atom_site_fract_z
Ho1 0.3333 0.6667 0.2291
Te1 0.0000 0.0000 0.5000
As1 0.0000 0.0000 0.0000
H1 0.3333 0.6667 0.7545
```



Entry 4:
Below is a geometry-optimized As2HI structure, with properties calculated at the PBE-GGA level.

Calculated values
Total energy = -2.862 eV/atom
Size of the total moment = 0.0000 μB per atom
Calculated volume = 20.8 Å³ per atom
Theoretical density = 5.5 g cm⁻³
Energy above the lowest structure with this stoichiometry = 0 meV per atom
DOS(E_F) = 2.53 states/eV/f.u.

```
data_As2HI
_space_group_name_H-M_alt 'I -4 2 d'
_space_group_IT_number 122
_space_group_name_Hall 'I -4 2bw'
_cell_length_a 5.8505
_cell_length_b 5.8505
_cell_length_c 9.7417
_cell_angle_alpha 90.00
_cell_angle_beta 90.00
_cell_angle_gamma 90.00
loop_
_atom_site_label
_atom_site_fract_x
_atom_site_fract_y
_atom_site_fract_z
As1 0.0797 0.2500 0.1250
H1 0.0000 0.0000 0.0000
I1 0.0000 0.0000 0.5000
```



Entry 5:
Below is a geometry-optimized AsHI4 structure, with properties calculated at the PBE-GGA level.

Calculated values
Total energy = -2.293 eV/atom
Size of the total moment = 0.0000 μB per atom
Calculated volume = 48.5 Å³ per atom
Theoretical density = 3.3 g cm⁻³
Energy above the lowest structure with this stoichiometry = 162 meV per atom
DOS(E_F) = 0.80 states/eV/f.u.

```
data_AsHI4
_space_group_name_H-M_alt 'C 1 2/m 1'
_space_group_IT_number 12
_cell_length_a 24.6320
_cell_length_b 3.9100
_cell_length_c 14.4024
_cell_angle_alpha 90.00
_cell_angle_beta 123.03
_cell_angle_gamma 90.00
loop_
_space_group_symop_operation_xyz
'x,y,z'
'-x,-y,-z'
'-x,y,-z'
'x,-y,z'
'x+1/2,y+1/2,z'
'-x+1/2,-y+1/2,-z'
'-x+1/2,y+1/2,-z'
'x+1/2,-y+1/2,z'
loop_
_atom_site_label
_atom_site_fract_x
_atom_site_fract_y
_atom_site_fract_z
As1 0.0731 0.0000 0.3901
H1 0.2349 0.0000 0.1146
I1 0.0436 0.0000 0.7936
I2 0.1125 0.5000 0.5648
I3 0.1527 0.0000 0.3248
I4 0.2124 0.5000 0.1085
```



Entry 6:
Below is a geometry-optimized AsH2I structure, with properties calculated at the PBE-GGA level.

Calculated values
Total energy = -2.098 eV/atom
Size of the total moment = 0.0000 μB per atom
Calculated volume = 13.7 Å³ per atom
Theoretical density = 6.2 g cm⁻³
Energy above the lowest structure with this stoichiometry = 790 meV per atom
DOS(E_F) = 2.22 states/eV/f.u.

```
data_AsH2I
_space_group_name_H-M_alt 'F m -3 m'
_space_group_IT_number 225
_space_group_name_Hall '-F 4 2 3'
_cell_length_a 6.0249
_cell_length_b 6.0249
_cell_length_c 6.0249
_cell_angle_alpha 90.00
_cell_angle_beta 90.00
_cell_angle_gamma 90.00
loop_
_atom_site_label
_atom_site_fract_x
_atom_site_fract_y
_atom_site_fract_z
As1 0.0000 0.0000 0.0000
H1 0.2500 0.2500 0.2500
I1 0.0000 0.0000 0.5000
```